Tb3Pr3Mg: optimized geometry, PBE.

The structure in POSCAR format:
```
Tb3Pr3Mg
1.0
-1.506 -0.469 -6.091
3.703 -3.247 -3.916
-6.667 -12.975 -0.602
Pr Tb Mg
6 6 2
Direct
0.064 0.732 0.807 Pr
0.732 0.396 0.807 Pr
0.936 0.268 0.193 Pr
0.268 0.604 0.193 Pr
0.396 0.064 0.807 Pr
0.604 0.936 0.193 Pr
0.534 0.200 0.398 Tb
0.133 0.466 0.602 Tb
0.466 0.800 0.602 Tb
0.867 0.534 0.398 Tb
0.200 0.867 0.398 Tb
0.800 0.133 0.602 Tb
0.667 0.667 0.000 Mg
0.333 0.333 0.000 Mg
```

Summary:
- E_tot (eV/atom) = -4.173
- energy of formation (eV per atom) = 0.087
- space-group type = No. 148
- density of states at the Fermi level (states/eV per cell) = 19.94
- energy relative to the lowest polymorph listed for this composition (eV/f.u.) = 0.513